{"formula": "Sc2TiSbH", "functional": "PBE", "state": "relaxed", "dos_ef_per_ev_cell": 3.97, "spacegroup": "P4/mmm, No. 123", "crystal_system": "tetragonal", "dft_energy_ry_per_atom": -0.449, "cell": [[4.431, 0.000, 0.000], [0.000, 4.431, 0.000], [0.000, 0.000, 4.207]], "species": ["Sc", "Sc", "Ti", "Sb", "H"], "frac_coords": [[0.000, 0.500, 0.000], [0.500, 0.000, 0.000], [0.000, 0.000, 0.500], [0.500, 0.500, 0.500], [0.000, 0.000, 0.000]]}



{"formula": "ZrAlPb", "functional": "PBE", "state": "relaxed", "dos_ef_per_ev_cell": 2.64, "formation_energy_ev_per_atom": 0.023, "spacegroup": "P3m1, No. 156", "de_polymorph_mev_per_atom": 70, "crystal_system": "trigonal", "cell": [[3.276, 0.000, 0.000], [-1.638, 2.837, 0.000], [0.000, 0.000, 7.488]], "species": ["Zr", "Al", "Pb"], "frac_coords": [[0.000, 0.000, 0.000], [0.333, 0.667, 0.300], [0.667, 0.333, 0.647]]}



{"formula": "Y5Er5Th2", "functional": "PBE", "state": "relaxed", "dos_ef_per_ev_cell": 17.90, "formation_energy_ev_per_atom": 0.031, "spacegroup": "C2/m, No. 12", "crystal_system": "monoclinic", "cell": [[7.533, -2.517, 0.000], [7.533, 2.517, 0.000], [-5.021, 0.000, 10.023]], "species": ["Y", "Y", "Y", "Y", "Y", "Er", "Er", "Er", "Er", "Er", "Th", "Th"], "frac_coords": [[0.000, 0.000, 0.000], [0.085, 0.085, 0.753], [0.167, 0.167, 0.501], [0.833, 0.833, 0.499], [0.915, 0.915, 0.247], [0.249, 0.249, 0.246], [0.416, 0.416, 0.751], [0.500, 0.500, 0.500], [0.584, 0.584, 0.249], [0.751, 0.751, 0.754], [0.331, 0.331, 0.000], [0.669, 0.669, 0.000]]}



{"formula": "Mg2TlSn2", "functional": "PBE", "state": "relaxed", "dos_ef_per_ev_cell": 2.13, "formation_energy_ev_per_atom": -0.024, "spacegroup": "P-3m1, No. 164", "de_polymorph_mev_per_atom": 53, "crystal_system": "trigonal", "cell": [[5.049, 0.000, 0.000], [-2.524, 4.373, 0.000], [0.000, 0.000, 6.068]], "species": ["Mg", "Mg", "Tl", "Sn", "Sn"], "frac_coords": [[0.333, 0.667, 0.148], [0.667, 0.333, 0.852], [0.000, 0.000, 0.000], [0.333, 0.667, 0.640], [0.667, 0.333, 0.360]]}



{"formula": "Zn3InO", "functional": "PBE", "state": "relaxed", "dos_ef_per_ev_cell": 1.45, "spacegroup": "Pm-3m, No. 221", "de_polymorph_mev_per_atom": 0, "crystal_system": "cubic", "e_form_raw_ev_per_atom": -0.1073, "cell": [[4.352, 0.000, 0.000], [0.000, 4.352, 0.000], [0.000, 0.000, 4.352]], "species": ["Zn", "Zn", "Zn", "In", "O"], "frac_coords": [[0.000, 0.000, 0.500], [0.000, 0.500, 0.000], [0.500, 0.000, 0.000], [0.500, 0.500, 0.500], [0.000, 0.000, 0.000]]}



{"formula": "PrIn12Hg6", "functional": "PBE", "state": "relaxed", "dos_ef_per_ev_cell": 7.86, "formation_energy_ev_per_atom": -0.040, "spacegroup": "R-3, No. 148", "crystal_system": "trigonal", "cell": [[5.705, 3.294, 4.686], [-5.705, 3.294, 4.686], [0.000, -6.588, 4.686]], "species": ["Pr", "In", "In", "In", "In", "In", "In", "In", "In", "In", "In", "In", "In", "Hg", "Hg", "Hg", "Hg", "Hg", "Hg"], "frac_coords": [[0.000, 0.000, 0.000], [0.015, 0.722, 0.706], [0.222, 0.450, 0.546], [0.278, 0.294, 0.985], [0.294, 0.985, 0.278], [0.450, 0.546, 0.222], [0.454, 0.778, 0.550], [0.546, 0.222, 0.450], [0.550, 0.454, 0.778], [0.706, 0.015, 0.722], [0.722, 0.706, 0.015], [0.778, 0.550, 0.454], [0.985, 0.278, 0.294], [0.083, 0.634, 0.160], [0.160, 0.083, 0.634], [0.366, 0.840, 0.917], [0.634, 0.160, 0.083], [0.840, 0.917, 0.366], [0.917, 0.366, 0.840]]}



{"formula": "TlAgP2O", "functional": "PBE", "state": "relaxed", "dos_ef_per_ev_cell": 5.65, "spacegroup": "P4/mmm, No. 123", "de_polymorph_mev_per_atom": 0, "crystal_system": "tetragonal", "e_form_raw_ev_per_atom": 0.7575, "cell": [[4.990, 0.000, 0.000], [0.000, 4.990, 0.000], [0.000, 0.000, 4.034]], "species": ["Tl", "Ag", "P", "P", "O"], "frac_coords": [[0.000, 0.000, 0.000], [0.500, 0.500, 0.500], [0.000, 0.500, 0.500], [0.500, 0.000, 0.500], [0.500, 0.500, 0.000]]}



{"formula": "In3Si5Au12", "functional": "PBE", "state": "relaxed", "dos_ef_per_ev_cell": 46.09, "spacegroup": "Ia-3d, No. 230", "crystal_system": "cubic", "e_form_raw_ev_per_atom": 0.0508, "cell": [[-7.617, 7.617, 7.617], [7.617, -7.617, 7.617], [7.617, 7.617, -7.617]], "species": ["In", "In", "In", "In", "In", "In", "In", "In", "In", "In", "In", "In", "Si", "Si", "Si", "Si", "Si", "Si", "Si", "Si", "Si", "Si", "Si", "Si", "Si", "Si", "Si", "Si", "Si", "Si", "Si", "Si", "Au", "Au", "Au", "Au", "Au", "Au", "Au", "Au", "Au", "Au", "Au", "Au", "Au", "Au", "Au", "Au", "Au", "Au", "Au", "Au", "Au", "Au", "Au", "Au", "Au", "Au", "Au", "Au", "Au", "Au", "Au", "Au", "Au", "Au", "Au", "Au", "Au", "Au", "Au", "Au", "Au", "Au", "Au", "Au", "Au", "Au", "Au", "Au"], "frac_coords": [[0.125, 0.250, 0.375], [0.125, 0.375, 0.750], [0.250, 0.375, 0.125], [0.250, 0.875, 0.625], [0.375, 0.125, 0.250], [0.375, 0.750, 0.125], [0.625, 0.250, 0.875], [0.625, 0.875, 0.750], [0.750, 0.125, 0.375], [0.750, 0.625, 0.875], [0.875, 0.625, 0.250], [0.875, 0.750, 0.625], [0.000, 0.000, 0.000], [0.000, 0.000, 0.500], [0.000, 0.500, 0.000], [0.000, 0.500, 0.500], [0.125, 0.750, 0.875], [0.125, 0.875, 0.250], [0.250, 0.125, 0.875], [0.250, 0.625, 0.375], [0.375, 0.250, 0.625], [0.375, 0.625, 0.750], [0.500, 0.000, 0.000], [0.500, 0.000, 0.500], [0.500, 0.500, 0.000], [0.500, 0.500, 0.500], [0.625, 0.375, 0.250], [0.625, 0.750, 0.375], [0.750, 0.375, 0.625], [0.750, 0.875, 0.125], [0.875, 0.125, 0.750], [0.875, 0.250, 0.125], [0.043, 0.213, 0.124], [0.043, 0.329, 0.918], [0.082, 0.624, 0.411], [0.082, 0.957, 0.671], [0.089, 0.713, 0.671], [0.089, 0.876, 0.418], [0.124, 0.043, 0.213], [0.124, 0.582, 0.911], [0.171, 0.213, 0.589], [0.171, 0.457, 0.582], [0.213, 0.124, 0.043], [0.213, 0.589, 0.171], [0.287, 0.329, 0.911], [0.287, 0.457, 0.376], [0.329, 0.911, 0.287], [0.329, 0.918, 0.043], [0.376, 0.287, 0.457], [0.376, 0.589, 0.918], [0.411, 0.082, 0.624], [0.411, 0.829, 0.787], [0.418, 0.089, 0.876], [0.418, 0.829, 0.543], [0.457, 0.376, 0.287], [0.457, 0.582, 0.171], [0.543, 0.418, 0.829], [0.543, 0.624, 0.713], [0.582, 0.171, 0.457], [0.582, 0.911, 0.124], [0.589, 0.171, 0.213], [0.589, 0.918, 0.376], [0.624, 0.411, 0.082], [0.624, 0.713, 0.543], [0.671, 0.082, 0.957], [0.671, 0.089, 0.713], [0.713, 0.543, 0.624], [0.713, 0.671, 0.089], [0.787, 0.411, 0.829], [0.787, 0.876, 0.957], [0.829, 0.543, 0.418], [0.829, 0.787, 0.411], [0.876, 0.418, 0.089], [0.876, 0.957, 0.787], [0.911, 0.124, 0.582], [0.911, 0.287, 0.329], [0.918, 0.043, 0.329], [0.918, 0.376, 0.589], [0.957, 0.671, 0.082], [0.957, 0.787, 0.876]]}



{"formula": "Mg2CoMo", "functional": "PBE", "state": "relaxed", "dos_ef_per_ev_cell": 3.04, "formation_energy_ev_per_atom": 0.352, "spacegroup": "C2/m, No. 12", "de_polymorph_mev_per_atom": 241, "crystal_system": "monoclinic", "cell": [[2.736, -4.551, 0.000], [2.736, 4.551, 0.000], [-0.707, 0.000, 2.554]], "species": ["Mg", "Mg", "Co", "Mo"], "frac_coords": [[0.000, 0.500, 0.000], [0.500, 0.000, 0.000], [0.000, 0.000, 0.500], [0.500, 0.500, 0.500]]}



{"formula": "RbMgScAg2", "functional": "PBE", "state": "relaxed", "dos_ef_per_ev_cell": 4.58, "formation_energy_ev_per_atom": 0.533, "spacegroup": "P4/mmm, No. 123", "crystal_system": "tetragonal", "cell": [[5.313, 0.000, 0.000], [0.000, 5.313, 0.000], [0.000, 0.000, 5.505]], "species": ["Rb", "Mg", "Sc", "Ag", "Ag"], "frac_coords": [[0.000, 0.000, 0.000], [0.500, 0.500, 0.500], [0.500, 0.500, 0.000], [0.000, 0.500, 0.500], [0.500, 0.000, 0.500]]}



{"formula": "TlTeBr2", "functional": "PBE", "state": "relaxed", "dos_ef_per_ev_cell": 1.07, "spacegroup": "P2/m, No. 10", "de_polymorph_mev_per_atom": 53, "crystal_system": "monoclinic", "e_form_raw_ev_per_atom": -0.2566, "cell": [[5.463, 0.000, 0.000], [0.000, 4.758, 0.000], [-0.473, 0.000, 5.651]], "species": ["Tl", "Te", "Br", "Br"], "frac_coords": [[0.000, 0.000, 0.000], [0.500, 0.000, 0.500], [0.288, 0.500, 0.715], [0.712, 0.500, 0.285]]}



{"formula": "Ba3Dy3ErSe8", "functional": "PBE", "state": "relaxed", "dos_ef_per_ev_cell": 3.37, "spacegroup": "R-3m, No. 166", "crystal_system": "trigonal", "e_form_raw_ev_per_atom": -1.9230, "cell": [[4.206, 2.429, 7.533], [-4.206, 2.429, 7.533], [0.000, -4.857, 7.533]], "species": ["Ba", "Ba", "Ba", "Dy", "Dy", "Dy", "Er", "Se", "Se", "Se", "Se", "Se", "Se", "Se", "Se"], "frac_coords": [[0.000, 0.500, 0.500], [0.500, 0.000, 0.500], [0.500, 0.500, 0.000], [0.000, 0.000, 0.500], [0.000, 0.500, 0.000], [0.500, 0.000, 0.000], [0.500, 0.500, 0.500], [0.237, 0.736, 0.736], [0.238, 0.238, 0.238], [0.264, 0.264, 0.763], [0.264, 0.763, 0.264], [0.736, 0.237, 0.736], [0.736, 0.736, 0.237], [0.762, 0.762, 0.762], [0.763, 0.264, 0.264]]}



{"formula": "ZrTaSi2", "functional": "PBE", "state": "relaxed", "dos_ef_per_ev_cell": 4.21, "spacegroup": "P4mm, No. 99", "de_polymorph_mev_per_atom": 462, "crystal_system": "tetragonal", "e_form_raw_ev_per_atom": -0.1919, "cell": [[3.260, 0.000, 0.000], [0.000, 3.260, 0.000], [0.000, 0.000, 6.429]], "species": ["Zr", "Ta", "Si", "Si"], "frac_coords": [[0.000, 0.000, 0.000], [0.500, 0.500, 0.680], [0.000, 0.000, 0.468], [0.500, 0.500, 0.272]]}



{"formula": "Ca2PrSnO", "functional": "PBE", "state": "relaxed", "dos_ef_per_ev_cell": 3.14, "spacegroup": "P4/mmm, No. 123", "crystal_system": "tetragonal", "e_form_raw_ev_per_atom": -1.5141, "cell": [[4.839, 0.000, 0.000], [0.000, 4.839, 0.000], [0.000, 0.000, 5.048]], "species": ["Ca", "Ca", "Pr", "Sn", "O"], "frac_coords": [[0.000, 0.500, 0.000], [0.500, 0.000, 0.000], [0.000, 0.000, 0.500], [0.500, 0.500, 0.500], [0.000, 0.000, 0.000]]}



{"formula": "LuZrInTc", "functional": "PBE", "state": "relaxed", "dos_ef_per_ev_cell": 2.46, "formation_energy_ev_per_atom": -0.216, "spacegroup": "F-43m, No. 216", "crystal_system": "cubic", "cell": [[0.000, 3.464, 3.464], [3.464, 0.000, 3.464], [3.464, 3.464, 0.000]], "species": ["Lu", "Zr", "In", "Tc"], "frac_coords": [[0.000, 0.000, 0.000], [0.500, 0.500, 0.500], [0.250, 0.250, 0.250], [0.750, 0.750, 0.750]]}



{"formula": "NdAl2ZnAu5", "functional": "PBE", "state": "relaxed", "dos_ef_per_ev_cell": 3.89, "formation_energy_ev_per_atom": -0.308, "spacegroup": "P4/mmm, No. 123", "crystal_system": "tetragonal", "cell": [[4.915, 0.000, 0.000], [0.000, 4.915, 0.000], [0.000, 0.000, 7.703]], "species": ["Nd", "Al", "Al", "Zn", "Au", "Au", "Au", "Au", "Au"], "frac_coords": [[0.000, 0.000, 0.000], [0.500, 0.500, 0.337], [0.500, 0.500, 0.663], [0.000, 0.000, 0.500], [0.000, 0.500, 0.253], [0.000, 0.500, 0.747], [0.500, 0.000, 0.253], [0.500, 0.000, 0.747], [0.500, 0.500, 0.000]]}



{"formula": "Nd2ScZn4", "functional": "PBE", "state": "relaxed", "dos_ef_per_ev_cell": 6.06, "formation_energy_ev_per_atom": -0.107, "spacegroup": "R-3m, No. 166", "crystal_system": "trigonal", "cell": [[2.452, 1.416, 8.287], [-2.452, 1.416, 8.287], [0.000, -2.832, 8.287]], "species": ["Nd", "Nd", "Sc", "Zn", "Zn", "Zn", "Zn"], "frac_coords": [[0.246, 0.246, 0.246], [0.754, 0.754, 0.754], [0.000, 0.000, 0.000], [0.124, 0.124, 0.124], [0.369, 0.369, 0.369], [0.631, 0.631, 0.631], [0.876, 0.876, 0.876]]}



{"formula": "ZnCr2Bi2", "functional": "PBE", "state": "relaxed", "dos_ef_per_ev_cell": 7.44, "formation_energy_ev_per_atom": 0.552, "spacegroup": "P4/mbm, No. 127", "de_polymorph_mev_per_atom": 74, "crystal_system": "tetragonal", "cell": [[8.437, 0.000, 0.000], [0.000, 8.437, 0.000], [0.000, 0.000, 3.323]], "species": ["Zn", "Zn", "Cr", "Cr", "Cr", "Cr", "Bi", "Bi", "Bi", "Bi"], "frac_coords": [[0.000, 0.000, 0.000], [0.500, 0.500, 0.000], [0.129, 0.371, 0.500], [0.371, 0.871, 0.500], [0.629, 0.129, 0.500], [0.871, 0.629, 0.500], [0.167, 0.667, 0.000], [0.333, 0.167, 0.000], [0.667, 0.833, 0.000], [0.833, 0.333, 0.000]]}



{"formula": "As3PtBr", "functional": "PBE", "state": "relaxed", "dos_ef_per_ev_cell": 6.25, "spacegroup": "Pm-3m, No. 221", "de_polymorph_mev_per_atom": 919, "crystal_system": "cubic", "e_form_raw_ev_per_atom": 1.5238, "cell": [[4.954, 0.000, 0.000], [0.000, 4.954, 0.000], [0.000, 0.000, 4.954]], "species": ["As", "As", "As", "Pt", "Br"], "frac_coords": [[0.000, 0.000, 0.500], [0.000, 0.500, 0.000], [0.500, 0.000, 0.000], [0.500, 0.500, 0.500], [0.000, 0.000, 0.000]]}



{"formula": "Ba2HoB2ClO6", "functional": "PBE", "state": "relaxed", "dos_ef_per_ev_cell": 0.00, "spacegroup": "P2_1/m, No. 11", "crystal_system": "monoclinic", "e_form_raw_ev_per_atom": -2.9305, "cell": [[6.458, 0.000, 0.000], [0.000, 5.341, 0.000], [-1.176, 0.000, 11.442]], "species": ["Ba", "Ba", "Ba", "Ba", "Ho", "Ho", "B", "B", "B", "B", "Cl", "Cl", "O", "O", "O", "O", "O", "O", "O", "O", "O", "O", "O", "O"], "frac_coords": [[0.094, 0.250, 0.206], [0.343, 0.250, 0.577], [0.657, 0.750, 0.423], [0.906, 0.750, 0.794], [0.348, 0.250, 0.913], [0.652, 0.750, 0.087], [0.209, 0.750, 0.072], [0.378, 0.750, 0.727], [0.622, 0.250, 0.273], [0.791, 0.250, 0.928], [0.149, 0.750, 0.415], [0.851, 0.250, 0.585], [0.007, 0.750, 0.096], [0.295, 0.527, 0.765], [0.295, 0.973, 0.765], [0.323, 0.530, 0.063], [0.323, 0.970, 0.063], [0.477, 0.250, 0.354], [0.523, 0.750, 0.646], [0.677, 0.030, 0.937], [0.677, 0.470, 0.937], [0.705, 0.027, 0.235], [0.705, 0.473, 0.235], [0.993, 0.250, 0.904]]}